[1]
YAlOs2: relaxed, PBE. Values from VASP.

Cell and atoms, written as Quantum ESPRESSO input:
```
&SYSTEM
  ibrav = 0, nat = 4, ntyp = 3
/
ATOMIC_SPECIES
Y 88.91 Y.upf
Os 190.23 Os.upf
Al 26.98 Al.upf
CELL_PARAMETERS angstrom
2.892 0.000 0.000
0.000 3.599 0.000
0.000 0.000 6.991
ATOMIC_POSITIONS crystal
Y 0.000 0.000 0.495
Os 0.000 0.000 0.016
Os 0.500 0.500 0.184
Al 0.500 0.500 0.805
```

Computed properties:
The calculation puts the total energy at -8.17 eV per atom. Its space-group type is No. 25. For the size of the total moment, the calculation gives 0.00 μB/cell. The calculation puts the density of states at the Fermi level at 2.57 states/eV per cell.

[2]
YAlOs3: relaxed, PBE. Values from VASP.

Cell and atoms, written as Quantum ESPRESSO input:
```
&SYSTEM
  ibrav = 0, nat = 5, ntyp = 3
/
ATOMIC_SPECIES
Y 88.91 Y.upf
Os 190.23 Os.upf
Al 26.98 Al.upf
CELL_PARAMETERS angstrom
4.878 0.000 0.000
0.000 4.878 0.000
0.000 0.000 4.878
ATOMIC_POSITIONS crystal
Y 0.000 0.000 0.000
Os 0.000 0.500 0.000
Os 0.000 0.000 0.500
Os 0.500 0.000 0.000
Al 0.500 0.500 0.500
```

Computed properties:
The offset from the most stable computed form comes out at 2.0197 eV/atom. Its space-group type is No. 221. For the size of the total moment, the calculation gives 3.69 μB/cell. The calculation puts the density of states at the Fermi level at 6.65 states/eV per cell.

[3]
YAlOs: relaxed, PBE. Values from VASP.

Cell and atoms, written as Quantum ESPRESSO input:
```
&SYSTEM
  ibrav = 0, nat = 12, ntyp = 3
/
ATOMIC_SPECIES
Y 88.91 Y.upf
Al 26.98 Al.upf
Os 190.23 Os.upf
CELL_PARAMETERS angstrom
5.421 -0.022 0.000
-2.645 4.732 0.000
0.000 0.000 8.792
ATOMIC_POSITIONS crystal
Y 0.334 0.666 0.309
Y 0.673 0.327 0.177
Y 0.673 0.327 0.823
Y 0.334 0.666 0.691
Al 0.994 0.006 0.244
Al 0.994 0.006 0.756
Al 0.344 0.165 0.500
Al 0.835 0.656 0.500
Os 0.836 0.164 0.500
Os 0.644 0.822 0.000
Os 0.178 0.356 0.000
Os 0.161 0.839 0.000
```

Computed properties:
The calculation puts the total energy at -7.59 eV per atom. Its space-group type is No. 38. For the size of the total moment, the calculation gives 0.00 μB/cell. The calculation puts the density of states at the Fermi level at 12.39 states/eV per cell.